Material: KCrPb
Method: DFT, SCAN
State: PBEsol geometry

Lattice parameters (Å, degrees): 6.8032 6.8032 6.8032 148.07 148.07 45.78
With the nearest neighbours (Å) after each atom.
Fractional coordinates of all 3 atoms:
K 0.0000 0.0000 0.0000  5 Cr 3.63-3.74, 5 Pb 3.67-3.73, 4 K 3.74
Cr 0.7105 0.7105 0.0000  4 Pb 2.86
Pb 0.2975 0.2975 0.0000  4 Cr 2.86

Space-group type: No. 107
ΔE_f in eV per atom: 0.1518
Total DFT energy (no corrections) in eV per atom: -34.013